P.
{
  "formula": "BeHgSO",
  "functional": "PBE",
  "state": "relaxed",
  "lattice": [[5.121, 0.000, 0.000], [0.000, 7.729, 0.000], [0.000, 0.000, 13.754]],
  "species": ["Be", "Be", "Be", "Be", "Be", "Be", "Be", "Be", "Hg", "Hg", "Hg", "Hg", "Hg", "Hg", "Hg", "Hg", "S", "S", "S", "S", "S", "S", "S", "S", "O", "O", "O", "O", "O", "O", "O", "O"],
  "fractional_positions": [[0.106, 0.234, 0.208], [0.106, 0.266, 0.708], [0.394, 0.734, 0.208], [0.394, 0.766, 0.708], [0.606, 0.234, 0.292], [0.606, 0.266, 0.792], [0.894, 0.734, 0.292], [0.894, 0.766, 0.792], [0.144, 0.178, 0.930], [0.144, 0.322, 0.430], [0.356, 0.678, 0.930], [0.356, 0.822, 0.430], [0.644, 0.178, 0.570], [0.644, 0.322, 0.070], [0.856, 0.678, 0.570], [0.856, 0.822, 0.070], [0.237, 0.583, 0.094], [0.237, 0.917, 0.594], [0.263, 0.083, 0.094], [0.263, 0.417, 0.594], [0.737, 0.583, 0.406], [0.737, 0.917, 0.906], [0.763, 0.083, 0.406], [0.763, 0.417, 0.906], [0.186, 0.731, 0.785], [0.186, 0.769, 0.285], [0.314, 0.231, 0.785], [0.314, 0.269, 0.285], [0.686, 0.731, 0.715], [0.686, 0.769, 0.215], [0.814, 0.231, 0.715], [0.814, 0.269, 0.215]]
}


Q.
{
  "formula": "BeHgSO",
  "functional": "PBE",
  "state": "relaxed",
  "lattice": [[3.894, 0.000, 0.000], [0.000, 3.894, 0.000], [0.000, 0.000, 8.446]],
  "species": ["Be", "Be", "Hg", "Hg", "S", "S", "O", "O"],
  "fractional_positions": [[0.250, 0.250, 0.183], [0.750, 0.750, 0.817], [0.250, 0.750, 0.500], [0.750, 0.250, 0.500], [0.250, 0.250, 0.825], [0.750, 0.750, 0.175], [0.250, 0.250, 0.013], [0.750, 0.750, 0.987]]
}


Q: Which of them is the least stable? A: Q.


P.
{
  "formula": "BeHgSeO",
  "functional": "PBE",
  "state": "relaxed",
  "lattice": [[5.301, 0.000, 0.000], [0.000, 8.006, 0.000], [0.000, 0.000, 13.081]],
  "species": ["Be", "Be", "Be", "Be", "Be", "Be", "Be", "Be", "Hg", "Hg", "Hg", "Hg", "Hg", "Hg", "Hg", "Hg", "Se", "Se", "Se", "Se", "Se", "Se", "Se", "Se", "O", "O", "O", "O", "O", "O", "O", "O"],
  "fractional_positions": [[0.128, 0.125, 0.215], [0.128, 0.375, 0.715], [0.372, 0.625, 0.215], [0.372, 0.875, 0.715], [0.628, 0.125, 0.285], [0.628, 0.375, 0.785], [0.872, 0.625, 0.285], [0.872, 0.875, 0.785], [0.245, 0.641, 0.922], [0.245, 0.859, 0.422], [0.255, 0.141, 0.922], [0.255, 0.359, 0.422], [0.745, 0.641, 0.578], [0.745, 0.859, 0.078], [0.755, 0.141, 0.578], [0.755, 0.359, 0.078], [0.240, 0.575, 0.591], [0.240, 0.925, 0.091], [0.260, 0.075, 0.591], [0.260, 0.425, 0.091], [0.740, 0.575, 0.909], [0.740, 0.925, 0.409], [0.760, 0.075, 0.909], [0.760, 0.425, 0.409], [0.156, 0.654, 0.288], [0.156, 0.846, 0.788], [0.344, 0.154, 0.288], [0.344, 0.346, 0.788], [0.656, 0.654, 0.212], [0.656, 0.846, 0.712], [0.844, 0.154, 0.212], [0.844, 0.346, 0.712]]
}


Q.
{
  "formula": "BeHgSeO",
  "functional": "PBE",
  "state": "relaxed",
  "lattice": [[4.034, 0.000, 0.000], [0.000, 4.034, 0.000], [0.000, 0.000, 8.162]],
  "species": ["Be", "Be", "Hg", "Hg", "Se", "Se", "O", "O"],
  "fractional_positions": [[0.250, 0.250, 0.172], [0.750, 0.750, 0.828], [0.250, 0.250, 0.642], [0.750, 0.750, 0.358], [0.250, 0.750, 0.000], [0.750, 0.250, 0.000], [0.250, 0.250, 0.351], [0.750, 0.750, 0.649]]
}


Q: Which of them is the least stable? A: Q.


P.
{
  "formula": "PaBeHg",
  "functional": "PBE",
  "state": "relaxed",
  "magnetic_moment_mub_per_cell": 3.8,
  "lattice": [[6.373, 0.000, 0.000], [0.000, 6.373, 0.000], [0.000, 0.000, 6.373]],
  "species": ["Pa", "Pa", "Pa", "Pa", "Be", "Be", "Be", "Be", "Hg", "Hg", "Hg", "Hg"],
  "fractional_positions": [[0.000, 0.000, 0.000], [0.000, 0.500, 0.500], [0.500, 0.000, 0.500], [0.500, 0.500, 0.000], [0.250, 0.250, 0.750], [0.250, 0.750, 0.250], [0.750, 0.250, 0.250], [0.750, 0.750, 0.750], [0.000, 0.000, 0.500], [0.000, 0.500, 0.000], [0.500, 0.000, 0.000], [0.500, 0.500, 0.500]]
}


Q.
{
  "formula": "PaBeHg",
  "functional": "PBE",
  "state": "relaxed",
  "magnetic_moment_mub_per_cell": 2.9,
  "lattice": [[6.763, 0.000, 0.000], [0.000, 6.763, 0.000], [0.000, 0.000, 6.763]],
  "species": ["Pa", "Pa", "Pa", "Pa", "Be", "Be", "Be", "Be", "Hg", "Hg", "Hg", "Hg"],
  "fractional_positions": [[0.000, 0.000, 0.000], [0.000, 0.500, 0.500], [0.500, 0.000, 0.500], [0.500, 0.500, 0.000], [0.250, 0.250, 0.750], [0.250, 0.750, 0.250], [0.750, 0.250, 0.250], [0.750, 0.750, 0.750], [0.250, 0.250, 0.250], [0.250, 0.750, 0.750], [0.750, 0.250, 0.750], [0.750, 0.750, 0.250]]
}


Q: Which of them is the least stable? A: Q.